No. 1
! SrHgBi, optimized geometry, DFT GGA-PBE; values from VASP
! - space group = I4mm, No. 107
&SYSTEM
  ibrav = 0, nat = 3, ntyp = 3
/
ATOMIC_SPECIES
Sr 87.62 Sr.upf
Hg 200.59 Hg.upf
Bi 208.98 Bi.upf
ATOMIC_POSITIONS angstrom
Sr 0.000 0.000 0.000
Hg 0.000 0.000 3.849
Bi 0.000 0.000 7.941
CELL_PARAMETERS angstrom
-2.044 2.044 5.763
2.044 -2.044 5.763
2.044 2.044 -5.763

=====

No. 2
! Sr2Hg4Bi3, optimized geometry, DFT GGA-PBE; values from VASP
! - space group = C2/m, No. 12
&SYSTEM
  ibrav = 0, nat = 9, ntyp = 3
/
ATOMIC_SPECIES
Sr 87.62 Sr.upf
Hg 200.59 Hg.upf
Bi 208.98 Bi.upf
ATOMIC_POSITIONS angstrom
Sr 1.247 0.000 1.827
Sr 7.625 0.000 6.397
Hg -1.538 0.000 7.822
Hg 2.303 0.000 5.140
Hg 6.570 0.000 3.084
Hg 10.410 0.000 0.402
Bi -1.348 0.000 4.645
Bi 7.221 0.000 0.000
Bi 10.220 0.000 3.579
CELL_PARAMETERS angstrom
7.221 -2.614 0.000
7.221 2.614 0.000
-5.569 0.000 8.224

=====

No. 3
! Sr2HgBi5, optimized geometry, DFT GGA-PBE; values from VASP
! - space group = Pbam, No. 55
&SYSTEM
  ibrav = 0, nat = 16, ntyp = 3
/
ATOMIC_SPECIES
Sr 87.62 Sr.upf
Hg 200.59 Hg.upf
Bi 208.98 Bi.upf
ATOMIC_POSITIONS angstrom
Sr 1.756 1.737 0.000
Sr 1.901 8.886 0.000
Sr 5.413 5.412 0.000
Sr 5.558 12.561 0.000
Hg 0.000 0.000 2.454
Hg 3.657 7.149 2.454
Bi 0.000 7.149 2.454
Bi 0.153 10.790 2.454
Bi 1.759 5.328 0.000
Bi 1.898 12.477 0.000
Bi 3.504 3.641 2.454
Bi 3.657 0.000 2.454
Bi 3.810 10.658 2.454
Bi 5.416 1.821 0.000
Bi 5.555 8.970 0.000
Bi 7.161 3.509 2.454
CELL_PARAMETERS angstrom
7.314 0.000 0.000
0.000 14.298 0.000
0.000 0.000 4.909

=====

No. 4
! Sr2HgBi, optimized geometry, DFT GGA-PBE; values from VASP
! - space group = R3m, No. 160
&SYSTEM
  ibrav = 0, nat = 4, ntyp = 3
/
ATOMIC_SPECIES
Sr 87.62 Sr.upf
Hg 200.59 Hg.upf
Bi 208.98 Bi.upf
ATOMIC_POSITIONS angstrom
Sr 0.000 0.000 0.000
Sr 0.000 0.000 4.332
Hg 0.000 0.000 9.992
Bi 0.000 0.000 13.740
CELL_PARAMETERS angstrom
2.473 1.428 7.751
-2.473 1.428 7.751
0.000 -2.856 7.751

=====

No. 5
! Sr2Hg3Bi, optimized geometry, DFT GGA-PBE; values from VASP
! - space group = Fmmm, No. 69
&SYSTEM
  ibrav = 0, nat = 12, ntyp = 3
/
ATOMIC_SPECIES
Sr 87.62 Sr.upf
Hg 200.59 Hg.upf
Bi 208.98 Bi.upf
ATOMIC_POSITIONS angstrom
Sr 6.026 5.182 8.941
Sr 2.001 2.591 4.471
Sr 6.004 7.773 13.412
Sr 1.979 5.182 8.941
Hg 4.003 5.182 2.886
Hg 4.003 2.545 7.504
Hg 4.003 2.545 10.378
Hg 4.003 7.818 7.504
Hg 4.003 7.818 10.378
Hg 4.003 5.182 14.996
Bi 4.003 5.182 5.952
Bi 4.003 5.182 11.930
CELL_PARAMETERS angstrom
0.000 5.182 8.941
4.003 0.000 8.941
4.003 5.182 0.000

=====

No. 6
! SrHgBi2, optimized geometry, DFT GGA-PBE; values from VASP
! - space group = I-42d, No. 122
&SYSTEM
  ibrav = 0, nat = 8, ntyp = 3
/
ATOMIC_SPECIES
Sr 87.62 Sr.upf
Hg 200.59 Hg.upf
Bi 208.98 Bi.upf
ATOMIC_POSITIONS angstrom
Sr 0.000 0.000 0.000
Sr 0.000 4.461 1.690
Hg 4.461 0.000 1.690
Hg 0.000 0.000 3.379
Bi 2.230 2.628 -0.845
Bi 6.294 2.230 0.845
Bi 2.230 1.833 2.534
Bi -1.833 2.230 4.224
CELL_PARAMETERS angstrom
-4.461 4.461 3.379
4.461 -4.461 3.379
4.461 4.461 -3.379

=====

no.,E_tot (eV per formula unit)
1,-7.3
2,-19.3
3,-26.5
4,-10.0
5,-11.3
6,-11.1